(1)
Below is a relaxed structure of CaAl4In, with properties calculated at the PBE-GGA level.

```
CaAl4In
1.0
0.0000 3.9818 3.9818
3.9818 0.0000 3.9818
3.9818 3.9818 0.0000
Ca Al In
1 4 1
direct
0.0000 0.0000 0.0000
0.3747 0.3747 0.3747
0.3747 0.3747 0.8760
0.3747 0.8760 0.3747
0.8760 0.3747 0.3747
0.7500 0.7500 0.7500
```

Calculated values
The value obtained for the calculated formation energy is -0.52 eV per formula unit. The total energy is -0.124 Ha/atom.

***

(2)
Below is a relaxed structure of Ta2TlTe, with properties calculated at the PBE-GGA level.

```
Ta2TlTe
1.0
4.9479 0.0000 0.0000
0.0000 4.9479 0.0000
0.0000 0.0000 3.3055
Ta Tl Te
2 1 1
direct
0.0000 0.5000 0.0000
0.5000 0.0000 0.0000
0.0000 0.0000 0.5000
0.5000 0.5000 0.5000
```

Calculated values
The formation energy without anion corrections comes out at 540 meV per atom. The total energy is -0.249 Ha/atom. The energy above the lowest structure with this stoichiometry is 1.48 eV/f.u.